# 1
{
  "formula": "Y2Pd3Au3",
  "functional": "GGA-PBE",
  "state": "optimized geometry",
  "lattice_angstrom": [[3.7081, 2.1408, 3.2821], [-3.7081, 2.1408, 3.2821], [0.0000, -4.2817, 3.2821]],
  "species": ["Y", "Y", "Pd", "Pd", "Pd", "Au", "Au", "Au"],
  "fractional_positions": [[0.2457, 0.2457, 0.2457], [0.7543, 0.7543, 0.7543], [0.0000, 0.2365, 0.7635], [0.2365, 0.7635, 0.0000], [0.7635, 0.0000, 0.2365], [0.2610, 0.7390, 0.5000], [0.5000, 0.2610, 0.7390], [0.7390, 0.5000, 0.2610]],
  "dft_energy_ev_per_atom": -5.515,
  "formation_energy_mev_per_atom": -723,
  "sg": "R32, No. 155",
  "rho_g_cm3": 11.56
}

***

# 2
{
  "formula": "ZnCdP2Cl",
  "functional": "GGA-PBE",
  "state": "optimized geometry",
  "lattice_angstrom": [[5.0484, 0.0000, 0.0000], [0.0000, 5.0484, 0.0000], [0.0000, 0.0000, 5.2740]],
  "species": ["Zn", "Cd", "P", "P", "Cl"],
  "fractional_positions": [[0.0000, 0.0000, 0.0000], [0.5000, 0.5000, 0.5000], [0.0000, 0.5000, 0.5000], [0.5000, 0.0000, 0.5000], [0.5000, 0.5000, 0.0000]],
  "dft_energy_ev_per_atom": -2.116,
  "sg": "P4/mmm, No. 123",
  "e_form_raw_ev_per_atom": 0.856,
  "rho_g_cm3": 3.40
}

***

# 3
{
  "formula": "Mn3HgPb2Se8",
  "functional": "GGA-PBE",
  "state": "optimized geometry",
  "lattice_angstrom": [[3.9076, 2.2560, 6.9562], [-3.9076, 2.2560, 6.9562], [0.0000, -4.5121, 6.9562]],
  "species": ["Mn", "Mn", "Mn", "Hg", "Pb", "Pb", "Se", "Se", "Se", "Se", "Se", "Se", "Se", "Se"],
  "fractional_positions": [[0.0001, 0.4999, 0.4999], [0.4999, 0.0001, 0.4999], [0.4999, 0.4999, 0.0001], [0.8667, 0.8667, 0.8667], [0.1281, 0.1281, 0.1281], [0.5052, 0.5052, 0.5052], [0.2467, 0.2467, 0.7003], [0.2467, 0.7003, 0.2467], [0.2721, 0.2721, 0.2721], [0.2903, 0.7595, 0.7595], [0.7003, 0.2467, 0.2467], [0.7360, 0.7360, 0.7360], [0.7595, 0.2903, 0.7595], [0.7595, 0.7595, 0.2903]],
  "dft_energy_ev_per_atom": -4.860,
  "sg": "R3m, No. 160",
  "e_form_raw_ev_per_atom": -0.353,
  "rho_g_cm3": 6.37
}

***

# 4
{
  "formula": "CrMo3",
  "functional": "GGA-PBE",
  "state": "optimized geometry",
  "lattice_angstrom": [[2.7731, 0.0000, 0.0000], [-1.3866, 2.4016, 0.0000], [0.0000, 0.0000, 9.2395]],
  "species": ["Cr", "Mo", "Mo", "Mo"],
  "fractional_positions": [[0.0000, 0.0000, 0.0000], [0.0000, 0.0000, 0.5000], [0.3333, 0.6667, 0.2379], [0.3333, 0.6667, 0.7621]],
  "dft_energy_ev_per_atom": -10.063,
  "formation_energy_mev_per_atom": 466,
  "sg": "P-6m2, No. 187",
  "rho_g_cm3": 9.17
}

***

# 5
{
  "formula": "Te2AuIF",
  "functional": "GGA-PBE",
  "state": "optimized geometry",
  "lattice_angstrom": [[5.4762, 0.0000, 0.0000], [0.0000, 5.4762, 0.0000], [0.0000, 0.0000, 5.6037]],
  "species": ["Te", "Te", "Au", "I", "F"],
  "fractional_positions": [[0.0000, 0.5000, 0.0000], [0.5000, 0.0000, 0.0000], [0.0000, 0.0000, 0.0000], [0.0000, 0.0000, 0.5000], [0.5000, 0.5000, 0.5000]],
  "dft_energy_ev_per_atom": -2.281,
  "sg": "P4/mmm, No. 123",
  "e_form_raw_ev_per_atom": 0.315,
  "rho_g_cm3": 5.91
}

***

# 6
{
  "formula": "GaSiNi2Ag",
  "functional": "GGA-PBE",
  "state": "optimized geometry",
  "lattice_angstrom": [[4.6966, 0.0000, 0.0000], [0.0000, 4.6966, 0.0000], [0.0000, 0.0000, 4.6190]],
  "species": ["Ga", "Si", "Ni", "Ni", "Ag"],
  "fractional_positions": [[0.0000, 0.0000, 0.0000], [0.5000, 0.5000, 0.0000], [0.0000, 0.5000, 0.5000], [0.5000, 0.0000, 0.5000], [0.0000, 0.0000, 0.5000]],
  "dft_energy_ev_per_atom": -3.359,
  "sg": "P4/mmm, No. 123",
  "e_form_raw_ev_per_atom": 1.213,
  "rho_g_cm3": 5.27
}

***

# 7
{
  "formula": "Mo3PbW",
  "functional": "GGA-PBE",
  "state": "optimized geometry",
  "lattice_angstrom": [[4.8233, 0.0000, 0.0000], [0.0000, 4.8233, 0.0000], [0.0000, 0.0000, 4.8233]],
  "species": ["Mo", "Mo", "Mo", "Pb", "W"],
  "fractional_positions": [[0.0000, 0.0000, 0.5000], [0.0000, 0.5000, 0.0000], [0.5000, 0.0000, 0.0000], [0.5000, 0.5000, 0.5000], [0.0000, 0.0000, 0.0000]],
  "dft_energy_ev_per_atom": -8.179,
  "formation_energy_mev_per_atom": 1652,
  "sg": "Pm-3m, No. 221",
  "rho_g_cm3": 10.05
}

***

# 8
{
  "formula": "Mo",
  "functional": "GGA-PBE",
  "state": "optimized geometry",
  "lattice_angstrom": [[-2.5370, 2.5370, 1.3198], [2.5370, -2.5370, 1.3198], [2.5370, 2.5370, -1.3198]],
  "species": ["Mo", "Mo"],
  "fractional_positions": [[0.3750, 0.6250, 0.7500], [0.6250, 0.3750, 0.2500]],
  "dft_energy_ev_per_atom": -10.022,
  "formation_energy_mev_per_atom": 809,
  "sg": "I4_1/amd, No. 141",
  "rho_g_cm3": 9.38
}

***

# 9
{
  "formula": "ErHgPbF6",
  "functional": "GGA-PBE",
  "state": "optimized geometry",
  "lattice_angstrom": [[6.2554, 0.0000, 0.0000], [-3.1277, 5.4173, 0.0000], [0.0000, 0.0000, 10.2686]],
  "species": ["Er", "Er", "Hg", "Hg", "Pb", "Pb", "F", "F", "F", "F", "F", "F", "F", "F", "F", "F", "F", "F"],
  "fractional_positions": [[0.3333, 0.6667, 0.2500], [0.6667, 0.3333, 0.7500], [0.3333, 0.6667, 0.7500], [0.6667, 0.3333, 0.2500], [0.0000, 0.0000, 0.0000], [0.0000, 0.0000, 0.5000], [0.0624, 0.3638, 0.1309], [0.0624, 0.6986, 0.3691], [0.3014, 0.3638, 0.3691], [0.3014, 0.9376, 0.1309], [0.3638, 0.0624, 0.6309], [0.3638, 0.3014, 0.8691], [0.6362, 0.6986, 0.1309], [0.6362, 0.9376, 0.3691], [0.6986, 0.0624, 0.8691], [0.6986, 0.6362, 0.6309], [0.9376, 0.3014, 0.6309], [0.9376, 0.6362, 0.8691]],
  "dft_energy_ev_per_atom": -4.947,
  "sg": "P-31c, No. 163",
  "e_form_raw_ev_per_atom": -2.747,
  "rho_g_cm3": 6.58
}

***

# 10
{
  "formula": "Y2AlMoOs",
  "functional": "GGA-PBE",
  "state": "optimized geometry",
  "lattice_angstrom": [[5.1700, 0.0000, 0.0000], [0.0000, 5.1700, 0.0000], [0.0000, 0.0000, 4.7232]],
  "species": ["Y", "Y", "Al", "Mo", "Os"],
  "fractional_positions": [[0.0000, 0.5000, 0.0000], [0.5000, 0.0000, 0.0000], [0.0000, 0.0000, 0.5000], [0.0000, 0.0000, 0.0000], [0.5000, 0.5000, 0.5000]],
  "dft_energy_ev_per_atom": -6.588,
  "formation_energy_mev_per_atom": 1158,
  "sg": "P4/mmm, No. 123",
  "rho_g_cm3": 6.46
}

***

# 11
{
  "formula": "Ce4IrRh2",
  "functional": "GGA-PBE",
  "state": "optimized geometry",
  "lattice_angstrom": [[-4.3471, 4.3471, 4.3354], [4.3471, -4.3471, 4.3354], [4.3471, 4.3471, -4.3354]],
  "species": ["Ce", "Ce", "Ce", "Ce", "Ce", "Ce", "Ce", "Ce", "Ir", "Ir", "Rh", "Rh", "Rh", "Rh"],
  "fractional_positions": [[0.0070, 0.7583, 0.1342], [0.1258, 0.4917, 0.7487], [0.1272, 0.9930, 0.7513], [0.2417, 0.3758, 0.2487], [0.5083, 0.2570, 0.6342], [0.6228, 0.8742, 0.3658], [0.6242, 0.8728, 0.8658], [0.7430, 0.3772, 0.2513], [0.2500, 0.7500, 0.5000], [0.5000, 0.5000, 0.0000], [0.9995, 0.1250, 0.3745], [0.3750, 0.0005, 0.1255], [0.7505, 0.6250, 0.6255], [0.8750, 0.2495, 0.8745]],
  "dft_energy_ev_per_atom": -7.436,
  "formation_energy_mev_per_atom": -679,
  "sg": "I-42d, No. 122",
  "rho_g_cm3": 9.71
}

***

# 12
{
  "formula": "ZrNbMo4",
  "functional": "GGA-PBE",
  "state": "optimized geometry",
  "lattice_angstrom": [[0.0000, 3.7735, 3.7735], [3.7735, 0.0000, 3.7735], [3.7735, 3.7735, 0.0000]],
  "species": ["Zr", "Nb", "Mo", "Mo", "Mo", "Mo"],
  "fractional_positions": [[0.0000, 0.0000, 0.0000], [0.2500, 0.2500, 0.2500], [0.1256, 0.6248, 0.6248], [0.6248, 0.1256, 0.6248], [0.6248, 0.6248, 0.1256], [0.6248, 0.6248, 0.6248]],
  "dft_energy_ev_per_atom": -10.362,
  "formation_energy_mev_per_atom": -38,
  "sg": "F-43m, No. 216",
  "rho_g_cm3": 8.77
}

***

# 13
{
  "formula": "Y2Al8Ni",
  "functional": "GGA-PBE",
  "state": "optimized geometry",
  "lattice_angstrom": [[4.2359, 0.0000, 0.0000], [0.0000, 4.2359, 0.0000], [0.0000, 0.0000, 11.1055]],
  "species": ["Y", "Y", "Al", "Al", "Al", "Al", "Al", "Al", "Al", "Al", "Ni"],
  "fractional_positions": [[0.0000, 0.0000, 0.1918], [0.0000, 0.0000, 0.8082], [0.0000, 0.5000, 0.0000], [0.0000, 0.5000, 0.3807], [0.0000, 0.5000, 0.6193], [0.5000, 0.0000, 0.0000], [0.5000, 0.0000, 0.3807], [0.5000, 0.0000, 0.6193], [0.5000, 0.5000, 0.1970], [0.5000, 0.5000, 0.8030], [0.0000, 0.0000, 0.5000]],
  "dft_energy_ev_per_atom": -4.873,
  "formation_energy_mev_per_atom": -451,
  "sg": "P4/mmm, No. 123",
  "rho_g_cm3": 3.77
}

***

# 14
{
  "formula": "LiOs2Pd",
  "functional": "GGA-PBE",
  "state": "optimized geometry",
  "lattice_angstrom": [[0.0000, 3.0213, 3.0213], [3.0213, 0.0000, 3.0213], [3.0213, 3.0213, 0.0000]],
  "species": ["Li", "Os", "Os", "Pd"],
  "fractional_positions": [[0.0000, 0.0000, 0.0000], [0.2500, 0.2500, 0.2500], [0.7500, 0.7500, 0.7500], [0.5000, 0.5000, 0.5000]],
  "dft_energy_ev_per_atom": -6.719,
  "formation_energy_mev_per_atom": 673,
  "sg": "Fm-3m, No. 225",
  "rho_g_cm3": 14.87
}

***

# 15
{
  "formula": "HgPtIO2",
  "functional": "GGA-PBE",
  "state": "optimized geometry",
  "lattice_angstrom": [[3.9685, 0.0000, 0.0000], [0.0000, 3.9685, 0.0000], [0.0000, 0.0000, 7.6123]],
  "species": ["Hg", "Pt", "I", "O", "O"],
  "fractional_positions": [[0.0000, 0.0000, 0.0000], [0.5000, 0.5000, 0.5000], [0.5000, 0.5000, 0.0000], [0.0000, 0.5000, 0.5000], [0.5000, 0.0000, 0.5000]],
  "dft_energy_ev_per_atom": -3.466,
  "sg": "P4/mmm, No. 123",
  "e_form_raw_ev_per_atom": 0.096,
  "rho_g_cm3": 7.68
}